Computed, not measured: Na3Hg4Pb2 after structural relaxation at the PBE-GGA level of DFT.

Results
Density: 8.731 g/cm³
Polymorph energy (0 for the lowest one): 0.000 eV per atom
ΔE_f: -1.6 eV per formula unit
E: -0.1157 Ry/atom

Lattice parameters (Å, degrees): 8.937 5.458 10.043 90.00 93.23 90.00
Space group C2/m (No. 12)
Inequivalent atoms, fractional coordinates:
Na (0.000, 0.000, 0.000) x2
Na (0.165, 0.500, 0.776) x4
Hg (0.000, 0.000, 0.318) x4
Hg (0.167, 0.500, 0.099) x4
Pb (0.169, 0.500, 0.431) x4